[1]
## SiBrCl2 (PBE)

Data for an optimized crystal structure of SiBrCl2.

As for the uncorrected formation energy: 0.42 eV/f.u. As for the symmetry: Cmm2. For the energy above the most stable polymorph in this dataset, the calculation gives 2.83 eV per formula unit.

Lattice parameters (Å, degrees): 5.808 5.808 9.168 90.00 90.00 146.43
Atoms (fractional coordinates):
Si 0.000 0.000 0.497
Br 0.500 0.500 0.705
Cl 0.000 0.000 0.992
Cl 0.500 0.500 0.306

[2]
## MgScTe4 (PBE)

Data for an optimized crystal structure of MgScTe4.

As for the uncorrected formation energy: 1.57 eV/f.u. As for the symmetry: F-43m.

Lattice parameters (Å, degrees): 6.331 6.331 6.331 60.00 60.00 60.00
Atoms (fractional coordinates):
Mg 0.750 0.750 0.750
Te 0.876 0.375 0.375
Te 0.375 0.375 0.876
Te 0.375 0.375 0.375
Te 0.375 0.876 0.375
Sc 0.000 0.000 0.000